Entry from Alexandria via LeMat-Bulk: PrEr15In4 after structural relaxation (PBE-GGA).

Energy of formation (meV per atom): -194
Space group: No. 123

a = 4.824 Å, b = 4.824 Å, c = 24.556 Å
α = 90.00°, β = 90.00°, γ = 90.00°
Atoms (fractional coordinates):
Pr  0.000  0.000  0.000
Er  0.000  0.500  0.107
Er  0.000  0.500  0.304
Er  0.000  0.500  0.500
Er  0.000  0.500  0.696
Er  0.000  0.500  0.893
Er  0.500  0.000  0.107
Er  0.500  0.000  0.304
Er  0.500  0.000  0.500
Er  0.500  0.000  0.696
Er  0.500  0.000  0.893
Er  0.500  0.500  0.000
Er  0.500  0.500  0.207
Er  0.500  0.500  0.402
Er  0.500  0.500  0.598
Er  0.500  0.500  0.793
In  0.000  0.000  0.207
In  0.000  0.000  0.402
In  0.000  0.000  0.598
In  0.000  0.000  0.793